(1)
Compound: SmHoOs
Source: the Open Quantum Materials Database
Functional: PBE
Structure: optimized geometry

Cell lengths 4.735, 4.735, 4.735 Å; angles 60.00, 60.00, 60.00 degrees
Atoms (fractional coordinates):
Os (0.250, 0.250, 0.250)
Sm (0.750, 0.750, 0.750)
Ho (0.000, 0.000, 0.000)

Results
The crystal system is cubic. As for the space group: No. 216. The value obtained for the energy above the most stable polymorph in this dataset is 0.0 kJ per mole of atoms. The volume comes out at 75.1 Å³ per cell. As for the energy of formation from the pure elements: 0.689 eV/atom.



(2)
Compound: Sm3Ho3Te2Os
Source: the Open Quantum Materials Database
Functional: PBE
Structure: optimized geometry

Cell lengths 8.381, 8.381, 4.088 Å; angles 90.00, 90.00, 120.00 degrees
Atoms (fractional coordinates):
Ho (0.000, 0.765, 0.000)
Ho (0.235, 0.235, 0.000)
Ho (0.765, 0.000, 0.000)
Os (0.000, 0.000, 0.500)
Te (0.333, 0.667, 0.000)
Te (0.667, 0.333, 0.000)
Sm (0.000, 0.397, 0.500)
Sm (0.397, 0.000, 0.500)
Sm (0.603, 0.603, 0.500)

Results
The crystal system is hexagonal. As for the space group: No. 189. The value obtained for the energy above the most stable polymorph in this dataset is 0.0 kJ per mole of atoms. The volume comes out at 248.7 Å³ per cell.



(3)
Compound: Sm3Ho3Te2Os
Source: the Open Quantum Materials Database
Functional: PBE
Structure: optimized geometry

Cell lengths 8.435, 8.435, 4.027 Å; angles 90.00, 90.00, 120.00 degrees
Atoms (fractional coordinates):
Os (0.000, 0.000, 0.000)
Sm (0.244, 0.244, 0.500)
Sm (0.756, 0.000, 0.500)
Sm (0.000, 0.756, 0.500)
Ho (0.000, 0.394, 0.000)
Ho (0.394, 0.000, 0.000)
Ho (0.606, 0.606, 0.000)
Te (0.667, 0.333, 0.500)
Te (0.333, 0.667, 0.500)

Results
The crystal system is hexagonal. As for the space group: No. 189. The value obtained for the energy above the most stable polymorph in this dataset is 9.9 kJ per mole of atoms. The volume comes out at 248.2 Å³ per cell.